A relaxed Li2MnFe3O8 crystal, computed with PBEsol.

Values from the calculation:
distance to the lowest polymorph of the same formula = 1 meV/atom
E_form (uncorrected) = -1.603 eV per atom

Cell: 5.6235 5.6235 13.8841 Å, 90.00 90.00 120.00°
Space group R-3m (No. 166, hexagonal axes)
One atom of each set of equivalent atoms:
Li  0.0000  0.0000  0.1257
Mn  0.0000  0.0000  0.5000
Fe  0.0000  0.5000  0.0000
O  0.0000  0.0000  0.2633
O  0.0328  0.5164  0.2541